No. 1
Entry from Alexandria: a relaxed BaPr2Pb crystal (PBE).

The structure in extended XYZ format:
```
4
Lattice="-4.9115 2.2023 -0.4577 -4.3962 -2.9641 1.0341 -2.8616 1.6015 6.5347" Properties=species:S:1:pos:R:3 pbc="T T T"
Ba -6.0794 0.4602 3.6934
Pr -2.8971 1.3283 5.6007
Pr -3.0628 0.0525 1.2395
Pb -9.0763 1.0201 6.6677
```

Computed properties:
magnetic moment	0.025	μB per atom
uncorrected energy	-15.50	eV for the cell shown
energy of formation from the pure elements	-79	meV/atom

***

No. 2
Entry from Alexandria: a relaxed Ba2PrPt4Pb3 crystal (PBE).

The structure in extended XYZ format:
```
10
Lattice="-3.2486 2.0726 3.0519 -2.9018 -3.9466 -0.4086 5.3020 -4.8218 8.9184" Properties=species:S:1:pos:R:3 pbc="T T T"
Ba -0.4314 -0.0486 3.5325
Ba 2.6581 -5.7102 6.7075
Pr -0.4242 -3.3479 5.7808
Pt -3.0752 -0.9370 1.3216
Pt 0.0000 0.0000 0.0000
Pt 1.7748 -2.0549 7.2435
Pt 0.4519 -3.7038 2.9965
Pb 2.6510 -2.4109 4.4592
Pb 3.0602 -3.2240 9.4057
Pb -0.8335 -2.5348 0.8343
```

Computed properties:
magnetic moment	0.000	μB per atom
uncorrected energy	-50.11	eV for the cell shown
energy of formation from the pure elements	-619	meV/atom

***

No. 3
Entry from Alexandria: a relaxed Ba2PrPbS4 crystal (PBE).

The structure in extended XYZ format:
```
16
Lattice="8.7113 -0.0044 0.0066 -0.0105 8.7113 0.0066 -4.3017 -4.3047 6.1476" Properties=species:S:1:pos:R:3 pbc="T T T"
Ba 4.3556 -0.0022 0.0033
Ba 2.2048 -2.1546 3.0771
Ba -2.1509 -2.1523 3.0738
Ba 4.3504 4.3534 0.0066
Pr -0.0053 4.3556 0.0033
Pr 6.5551 2.1988 3.0837
Pb 2.1995 2.2011 3.0804
Pb 4.4095 -4.3091 6.1542
S -2.2656 2.1856 6.0310
S 4.4218 0.1560 3.2037
S -0.0228 4.2461 2.9571
S 6.6647 2.2165 0.1299
S 2.3737 2.1681 6.0925
S 4.4321 4.2279 3.1488
S -0.0331 0.1743 3.0120
S 2.0252 2.2340 0.0684
```

Computed properties:
magnetic moment	0.000	μB per atom
uncorrected energy	-83.83	eV for the cell shown
formation energy without anion corrections	-157.7	kJ/mol of atoms

***

No. 4
Entry from Alexandria: a relaxed Ba2PrPbSe5 crystal (PBE).

The structure in extended XYZ format:
```
18
Lattice="4.4960 0.0000 0.0000 -2.2480 9.4809 0.0000 0.0000 0.0000 13.6095" Properties=species:S:1:pos:R:3 pbc="T T T"
Ba 2.2480 6.8590 11.0053
Ba 0.0000 2.1537 9.3288
Ba 0.0000 2.6219 4.2006
Ba 2.2480 7.3272 2.5241
Pr 2.2480 5.4681 7.0006
Pr 0.0000 4.0129 0.1959
Pb 2.2480 0.6155 12.9832
Pb 0.0000 8.8654 6.1784
Se 0.0000 6.9233 13.5911
Se 2.2480 3.4265 11.8236
Se 0.0000 9.2829 10.3257
Se 0.0000 5.4121 8.9635
Se 2.2480 8.4854 7.8488
Se 2.2480 2.5576 6.7863
Se 0.0000 6.0545 5.0189
Se 2.2480 0.1981 3.5210
Se 2.2480 4.0688 2.1587
Se 0.0000 0.9956 1.0441
```

Computed properties:
magnetic moment	0.000	μB per atom
uncorrected energy	-86.90	eV for the cell shown
formation energy without anion corrections	-146.8	kJ/mol of atoms